{"formula": "AlFeOs2", "functional": "PBE", "state": "optimized geometry", "cell": [[0.000, 3.010, 3.010], [3.010, 0.000, 3.010], [3.010, 3.010, 0.000]], "species": ["Os", "Os", "Al", "Fe"], "frac_coords": [[0.000, 0.000, 0.000], [0.750, 0.750, 0.750], [0.500, 0.500, 0.500], [0.250, 0.250, 0.250]], "m_tot_mub_per_atom": 0.5867, "dft_energy_ev_per_cell": -34.27, "mass_density_g_cm3": 14.104, "volume_a3_per_atom": 13.6}